# 1
An optimized crystal structure of CaTc2Os, computed with PBE-GGA.

Cell lengths 2.817, 2.817, 8.606 Å; angles 90.00, 90.00, 90.00 degrees
Space group P4mm (No. 99)
Asymmetric unit:
Ca1 0.000 0.000 0.000
Tc1 0.000 0.000 0.476
Tc2 0.500 0.500 0.703
Os1 0.500 0.500 0.279

Summary:
Raw total energy = -32.33 eV per cell
DOS(E_F) = 1.227 states/eV per atom
Mass density = 10.37 g/cm³
DFT formation energy = 0.409 eV per atom

=====

# 2
An optimized crystal structure of CaTc2Os2, computed with PBE-GGA.

Cell lengths 7.832, 7.832, 2.736 Å; angles 90.00, 90.00, 90.00 degrees
Space group P4/mbm (No. 127)
Asymmetric unit:
Ca1 0.000 0.000 0.000
Tc1 0.119 0.381 0.000
Os1 0.169 0.669 0.500

Summary:
Raw total energy = -88.67 eV per cell
DOS(E_F) = 1.021 states/eV per atom
Mass density = 12.20 g/cm³
DFT formation energy = 0.172 eV per atom

=====

# 3
An optimized crystal structure of CaTc2Os, computed with PBE-GGA.

Cell lengths 10.275, 2.936, 4.964 Å; angles 90.00, 113.19, 90.00 degrees
Space group Cm (No. 8)
Asymmetric unit:
Ca1 0.000 0.000 0.000
Tc1 0.001 0.500 0.486
Tc2 0.216 0.000 0.753
Os1 0.277 0.500 0.366

Summary:
Raw total energy = -64.06 eV per cell
DOS(E_F) = 0.934 states/eV per atom
Mass density = 10.29 g/cm³
DFT formation energy = 0.483 eV per atom

=====

# 4
An optimized crystal structure of CaTc2Os, computed with PBE-GGA.

Cell lengths 3.242, 3.242, 7.071 Å; angles 90.00, 90.00, 90.00 degrees
Space group P4/mmm (No. 123)
Asymmetric unit:
Ca1 0.000 0.000 0.000
Tc1 0.500 0.500 0.319
Os1 0.000 0.000 0.500

Summary:
Raw total energy = -31.81 eV per cell
DOS(E_F) = 0.920 states/eV per atom
Mass density = 9.52 g/cm³
DFT formation energy = 0.538 eV per atom

=====

# 5
An optimized crystal structure of Ca2TeOs, computed with PBE-GGA.

Cell lengths 4.378, 4.378, 10.087 Å; angles 90.00, 90.00, 90.00 degrees
Space group I-4m2 (No. 119)
Asymmetric unit:
Ca1 0.000 0.000 0.000
Ca2 0.000 0.500 0.250
Te1 0.000 0.000 0.500
Os1 0.000 0.500 0.750

Summary:
Raw total energy = -36.04 eV per cell
DOS(E_F) = 0.737 states/eV per atom
Mass density = 6.84 g/cm³
Raw formation energy = 0.089 eV per atom

=====

# 6
An optimized crystal structure of Ca2TeOs, computed with PBE-GGA.

Cell lengths 3.814, 3.865, 6.363 Å; angles 90.00, 90.00, 90.00 degrees
Space group Pmmm (No. 47)
Asymmetric unit:
Ca1 0.000 0.000 0.235
Te1 0.500 0.500 0.500
Os1 0.500 0.500 0.000

Summary:
Raw total energy = -18.85 eV per cell
DOS(E_F) = 0.820 states/eV per atom
Mass density = 7.05 g/cm³
Raw formation energy = -0.118 eV per atom

=====

# 7
An optimized crystal structure of CaTeOs3, computed with PBE-GGA.

Cell lengths 4.730, 4.730, 4.730 Å; angles 90.00, 90.00, 90.00 degrees
Space group Pm-3m (No. 221)
Asymmetric unit:
Ca1 0.000 0.000 0.000
Te1 0.500 0.500 0.500
Os1 0.000 0.000 0.500

Summary:
Raw total energy = -23.79 eV per cell
DOS(E_F) = 0.502 states/eV per atom
Mass density = 11.59 g/cm³
Raw formation energy = 3.008 eV per atom

=====

# 8
An optimized crystal structure of Ca4TeOs, computed with PBE-GGA.

Cell lengths 8.666, 8.666, 8.666 Å; angles 90.00, 90.00, 90.00 degrees
Space group F-43m (No. 216)
Asymmetric unit:
Ca1 0.124 0.124 0.124
Te1 0.000 0.000 0.500
Os1 0.250 0.250 0.750

Summary:
Raw total energy = -74.36 eV per cell
DOS(E_F) = 0.163 states/eV per atom
Mass density = 4.88 g/cm³
Raw formation energy = 0.631 eV per atom

=====

# 9
An optimized crystal structure of CaTeOs4, computed with PBE-GGA.

Cell lengths 7.557, 7.557, 7.557 Å; angles 90.00, 90.00, 90.00 degrees
Space group F-43m (No. 216)
Asymmetric unit:
Ca1 0.000 0.000 0.000
Te1 0.250 0.250 0.250
Os1 0.125 0.125 0.625

Summary:
Raw total energy = -186.44 eV per cell
DOS(E_F) = 1.748 states/eV per atom
Mass density = 14.29 g/cm³
Raw formation energy = 0.575 eV per atom

=====

# 10
An optimized crystal structure of CaTeOs2, computed with PBE-GGA.

Cell lengths 4.042, 4.042, 9.128 Å; angles 90.00, 90.00, 90.00 degrees
Space group I4/mmm (No. 139)
Asymmetric unit:
Ca1 0.000 0.000 0.000
Te1 0.000 0.000 0.500
Os1 0.000 0.500 0.250

Summary:
Raw total energy = -49.45 eV per cell
DOS(E_F) = 1.482 states/eV per atom
Mass density = 12.21 g/cm³
Raw formation energy = 0.719 eV per atom

=====

# 11
An optimized crystal structure of CaTeOs2, computed with PBE-GGA.

Cell lengths 7.731, 7.731, 5.804 Å; angles 90.00, 90.00, 90.00 degrees
Space group I-42d (No. 122)
Asymmetric unit:
Ca1 0.000 0.000 0.000
Te1 0.000 0.000 0.500
Os1 0.188 0.750 0.625

Summary:
Raw total energy = -95.38 eV per cell
DOS(E_F) = 0.300 states/eV per atom
Mass density = 10.50 g/cm³
Raw formation energy = 0.939 eV per atom

=====

# 12
An optimized crystal structure of Ca2TeOs, computed with PBE-GGA.

Cell lengths 3.433, 4.913, 12.358 Å; angles 90.00, 90.00, 90.00 degrees
Space group Imm2 (No. 44)
Asymmetric unit:
Ca1 0.000 0.000 0.000
Ca2 0.000 0.500 0.200
Te1 0.000 0.000 0.378
Os1 0.000 0.500 0.714

Summary:
Raw total energy = -38.20 eV per cell
DOS(E_F) = 0.036 states/eV per atom
Mass density = 6.34 g/cm³
Raw formation energy = -0.182 eV per atom